Here is a PBEsol-optimized structure of B2PRu2 from Alexandria. Energies are from meta-GGA SCAN.

Unit cell a=2.8883 b=2.8883 c=6.4561 alpha=102.93 beta=102.93 gamma=90.00
Last column: nearest neighbours and their distance in Å.
Fractional coordinates of all 5 atoms:
1 Ru 0.3845 0.3845 0.7690  4 B 2.19
2 Ru 0.6155 0.6155 0.2310  4 B 2.19
3 B 0.2500 0.7500 0.5000  4 B 2.04, 4 Ru 2.19
4 B 0.7500 0.2500 0.5000  4 B 2.04, 4 Ru 2.19
5 P 0.0000 0.0000 0.0000  8 Ru 2.48

formation enthalpy at 0 K	-0.274	eV per atom
calculated volume	10.22	Å³/atom

Here is a PBEsol-optimized structure of BP2Ru from Alexandria. Energies are from meta-GGA SCAN.

Unit cell a=5.0286 b=5.7050 c=5.0286 alpha=63.85 beta=90.00 gamma=116.15
Last column: nearest neighbours and their distance in Å.
Fractional coordinates of all 8 atoms:
1 Ru 0.7500 0.5000 0.7500  4 P 2.26
2 Ru 0.0000 0.0000 0.0000  4 P 2.26
3 B 0.2500 0.5000 0.2500  4 P 1.96
4 B 0.5000 0.0000 0.5000  4 P 1.96
5 P 0.5760 0.7500 0.3750  2 B 1.96
6 P 0.1740 0.7500 0.8750  2 B 1.96
7 P 0.8750 0.2500 0.5760  2 B 1.96
8 P 0.3750 0.2500 0.1740  2 B 1.96

formation enthalpy at 0 K	-0.176	eV per atom
calculated volume	14.10	Å³/atom

Here is a PBEsol-optimized structure of BP2RuS from Alexandria. Energies are from meta-GGA SCAN.

Unit cell a=4.3824 b=4.3824 c=4.9158 alpha=90.00 beta=90.00 gamma=90.00
Last column: nearest neighbours and their distance in Å.
Fractional coordinates of all 5 atoms:
1 Ru 0.0000 0.0000 0.0000  4 P 2.19
2 S 0.0000 0.0000 0.5000  2 Ru 2.46
3 B 0.5000 0.5000 0.5000  4 S 3.10, 8 P 3.29
4 P 0.0000 0.5000 0.0000  2 Ru 2.19
5 P 0.5000 0.0000 0.0000  2 Ru 2.19

calculated volume	18.88	Å³/atom
formation energy from raw total energies	1418	meV per atom

Here is a PBEsol-optimized structure of TcBP2Ru from Alexandria. Energies are from meta-GGA SCAN.

Unit cell a=4.2728 b=4.2728 c=5.1854 alpha=90.00 beta=90.00 gamma=90.00
Last column: nearest neighbours and their distance in Å.
Fractional coordinates of all 5 atoms:
1 Ru 0.0000 0.0000 0.0000  4 P 2.14
2 B 0.5000 0.5000 0.5000  4 Tc 3.02, 8 P 3.36
3 Tc 0.0000 0.0000 0.5000  2 Ru 2.59
4 P 0.0000 0.5000 0.0000  2 Ru 2.14
5 P 0.5000 0.0000 0.0000  2 Ru 2.14

formation enthalpy at 0 K	1.629	eV per atom
calculated volume	18.93	Å³/atom

| no. | size of the total moment (μB/f.u.) | N(E_F) (states/eV/cell) | final energy (eV/atom) |
| --- | --- | --- | --- |
| 1 | 0.0 | 1.902 | -19.256 |
| 2 | 0.0 | 4.446 | -15.939 |
| 3 | 0.0 | 4.361 | -13.119 |
| 4 | 3.0 | 2.383 | -17.994 |